The following is a DFT calculation (meta-GGA SCAN) of Y2PbSe at its PBEsol-relaxed geometry.

Summary:
ρ = 7.23 g cm⁻³
Formation energy (no corrections) = -1453.8 meV per atom
Spin magnetization = 0.000 μB per cell
Energy above the lowest structure with this stoichiometry = 0.000 eV/atom
Total energy = -157.36 eV per cell

Cell lengths 4.227, 4.227, 5.965 Å; angles 90.00, 90.00, 90.00 degrees
Sites, in units of the cell vectors:
Y1 0.000 0.000 0.000
Y2 0.500 0.500 0.500
Pb1 0.000 0.000 0.500
Se1 0.500 0.500 0.000